This record from Alexandria describes crystalline PPt2Rh at its relaxed geometry. The functional is PBE.

```
PPt2Rh
1.0
2.7994 0.0000 0.0000
0.0000 4.5833 0.0000
0.0000 0.0000 4.6702
P Pt Rh
1 2 1
direct
0.0000 0.0000 0.0000
0.0000 0.5000 0.5000
0.5000 0.0000 0.5000
0.5000 0.5000 0.0000
```

Values from the calculation:
Size of the total moment: 0.00 Bohr magnetons per cell
ΔE_f: 0.04 eV per atom



This record from Alexandria describes crystalline P2PtRh2 at its relaxed geometry. The functional is PBE.

```
P2PtRh2
1.0
-1.8247 1.8247 5.6203
1.8247 -1.8247 5.6203
1.8247 1.8247 -5.6203
P Pt Rh
2 1 2
direct
0.2500 0.7500 0.5000
0.7500 0.2500 0.5000
0.0000 0.0000 0.0000
0.3785 0.3785 0.0000
0.6215 0.6215 0.0000
```

Values from the calculation:
Size of the total moment: 0.00 Bohr magnetons per cell
ΔE_f: -0.19 eV per atom



This record from Alexandria describes crystalline PPt2Rh at its relaxed geometry. The functional is PBE.

```
PPt2Rh
1.0
-2.5951 2.5951 6.0623
2.5951 -2.5951 6.0623
2.5951 2.5951 -6.0623
P Pt Rh
2 4 2
direct
0.0000 0.0000 0.0000
0.7500 0.2500 0.5000
0.0797 0.6250 0.9547
0.3750 0.3297 0.4547
0.6703 0.1250 0.0453
0.8750 0.9203 0.5453
0.2500 0.7500 0.5000
0.5000 0.5000 0.0000
```

Values from the calculation:
Size of the total moment: 0.00 Bohr magnetons per cell
ΔE_f: 0.27 eV per atom



This record from Alexandria describes crystalline PPtRh at its relaxed geometry. The functional is PBE.

```
PPtRh
1.0
7.0767 0.0000 0.0000
0.0000 5.4576 0.0000
-0.0138 0.0000 4.7416
P Pt Rh
4 4 4
direct
0.1885 0.0779 0.2510
0.1885 0.4221 0.7510
0.8115 0.5779 0.2490
0.8115 0.9221 0.7490
0.4610 0.6284 0.7497
0.4610 0.8716 0.2497
0.5390 0.1284 0.7503
0.5390 0.3716 0.2503
0.1268 0.0060 0.7505
0.1268 0.4940 0.2505
0.8732 0.5060 0.7495
0.8732 0.9940 0.2495
```

Values from the calculation:
Size of the total moment: 0.00 Bohr magnetons per cell
ΔE_f: -0.39 eV per atom